(1)
Compound: Ac5In2Sn5
Source: the Alexandria database
Functional: GGA-PBE
Structure: optimized geometry

Calculated values
Crystal system = monoclinic
Space group = C2/m, No. 12

abc: 4.806 8.894 12.933
angles: 128.08 90.00 105.67
Atoms (fractional coordinates):
Ac: 0.500 0.000 0.500
Ac: 0.607 0.214 0.924
Ac: 0.701 0.402 0.332
Ac: 0.299 0.598 0.668
Ac: 0.393 0.786 0.076
In: 0.140 0.281 0.754
In: 0.860 0.719 0.246
Sn: 0.067 0.134 0.352
Sn: 0.761 0.522 0.822
Sn: 0.239 0.478 0.178
Sn: 0.933 0.866 0.648
Sn: 0.000 0.000 0.000



(2)
Compound: Ac2InSn4
Source: the Alexandria database
Functional: GGA-PBE
Structure: optimized geometry

Calculated values
Crystal system = orthorhombic
Space group = Fmm2, No. 42

abc: 6.959 6.959 6.741
angles: 118.90 118.90 93.66
Atoms (fractional coordinates):
Ac: 0.219 0.781 0.500
Ac: 0.719 0.281 0.500
In: 0.192 0.808 0.000
Sn: 0.714 0.780 0.000
Sn: 0.220 0.286 0.000
Sn: 0.222 0.286 0.508
Sn: 0.714 0.778 0.492



| no. | magnetization (μB per cell) | ΔH_f (0 K) (eV/atom) |
| --- | --- | --- |
| 1 | 0.00 | -0.599 |
| 2 | 0.00 | -0.447 |